## one
The following is a PBE calculation of crystalline VFeHg2 at its relaxed geometry, from the Alexandria database.

Values from the calculation:
**Magnetization**: 21.41 μB/cell

```
data_VFeHg2
_symmetry_space_group_name_H-M 'I -4 2 d'
_symmetry_Int_Tables_number 122
_symmetry_space_group_name_Hall 'I -4 2bw'
_cell_length_a 7.361
_cell_length_b 7.361
_cell_length_c 5.784
_cell_angle_alpha 90.00
_cell_angle_beta 90.00
_cell_angle_gamma 90.00
loop_
_atom_site_label
_atom_site_type_symbol
_atom_site_fract_x
_atom_site_fract_y
_atom_site_fract_z
V1 V 0.000 0.000 0.000
Fe1 Fe 0.000 0.000 0.500
Hg1 Hg 0.234 0.250 0.625
```

---

## two
The following is a PBE calculation of crystalline VFeHg2 at its relaxed geometry, from the Alexandria database.

Values from the calculation:
**Magnetization**: 1.72 μB/cell

```
data_VFeHg2
_symmetry_space_group_name_H-M 'F m -3 m'
_symmetry_Int_Tables_number 225
_symmetry_space_group_name_Hall '-F 4 2 3'
_cell_length_a 6.528
_cell_length_b 6.528
_cell_length_c 6.528
_cell_angle_alpha 90.00
_cell_angle_beta 90.00
_cell_angle_gamma 90.00
loop_
_atom_site_label
_atom_site_type_symbol
_atom_site_fract_x
_atom_site_fract_y
_atom_site_fract_z
V1 V 0.000 0.000 0.000
Fe1 Fe 0.000 0.000 0.500
Hg1 Hg 0.250 0.250 0.250
```

---

Top of the stability list: two, leading by 359 meV per atom.

---

## one
The following is a PBE calculation of crystalline YV2FeHg at its relaxed geometry, from the Alexandria database.

Values from the calculation:
**Magnetization**: 6.51 μB/cell

```
data_YV2FeHg
_symmetry_space_group_name_H-M 'P 4/m m m'
_symmetry_Int_Tables_number 123
_symmetry_space_group_name_Hall '-P 4 2'
_cell_length_a 4.977
_cell_length_b 4.977
_cell_length_c 4.803
_cell_angle_alpha 90.00
_cell_angle_beta 90.00
_cell_angle_gamma 90.00
loop_
_atom_site_label
_atom_site_type_symbol
_atom_site_fract_x
_atom_site_fract_y
_atom_site_fract_z
Y1 Y 0.000 0.000 0.000
V1 V 0.000 0.500 0.500
Fe1 Fe 0.500 0.500 0.000
Hg1 Hg 0.500 0.500 0.500
```

---

## two
The following is a PBE calculation of crystalline YV2FeHg at its relaxed geometry, from the Alexandria database.

Values from the calculation:
**Magnetization**: 3.02 μB/cell

```
data_YV2FeHg
_symmetry_space_group_name_H-M 'P 4/m m m'
_symmetry_Int_Tables_number 123
_symmetry_space_group_name_Hall '-P 4 2'
_cell_length_a 4.743
_cell_length_b 4.743
_cell_length_c 4.622
_cell_angle_alpha 90.00
_cell_angle_beta 90.00
_cell_angle_gamma 90.00
loop_
_atom_site_label
_atom_site_type_symbol
_atom_site_fract_x
_atom_site_fract_y
_atom_site_fract_z
Y1 Y 0.000 0.000 0.000
V1 V 0.000 0.500 0.000
Fe1 Fe 0.000 0.000 0.500
Hg1 Hg 0.500 0.500 0.500
```

---

Top of the stability list: one, leading by 487 meV per atom.

---

## one
The following is a PBE calculation of crystalline FeHg2W at its relaxed geometry, from the Alexandria database.

Values from the calculation:
**Magnetization**: 2.79 μB/cell

```
data_FeHg2W
_symmetry_space_group_name_H-M 'P 4/m m m'
_symmetry_Int_Tables_number 123
_symmetry_space_group_name_Hall '-P 4 2'
_cell_length_a 2.837
_cell_length_b 2.837
_cell_length_c 8.655
_cell_angle_alpha 90.00
_cell_angle_beta 90.00
_cell_angle_gamma 90.00
loop_
_atom_site_label
_atom_site_type_symbol
_atom_site_fract_x
_atom_site_fract_y
_atom_site_fract_z
Fe1 Fe 0.000 0.000 0.000
Hg1 Hg 0.500 0.500 0.237
W1 W 0.000 0.000 0.500
```

---

## two
The following is a PBE calculation of crystalline FeHg2W at its relaxed geometry, from the Alexandria database.

Values from the calculation:
**Magnetization**: 2.70 μB/cell

```
data_FeHg2W
_symmetry_space_group_name_H-M 'P 4/m m m'
_symmetry_Int_Tables_number 123
_symmetry_space_group_name_Hall '-P 4 2'
_cell_length_a 4.962
_cell_length_b 4.962
_cell_length_c 2.891
_cell_angle_alpha 90.00
_cell_angle_beta 90.00
_cell_angle_gamma 90.00
loop_
_atom_site_label
_atom_site_type_symbol
_atom_site_fract_x
_atom_site_fract_y
_atom_site_fract_z
Fe1 Fe 0.000 0.000 0.000
Hg1 Hg 0.000 0.500 0.500
W1 W 0.500 0.500 0.000
```

---

Top of the stability list: one, leading by 163 meV per atom.

---

## one
The following is a PBE calculation of crystalline YFe2Hg2 at its relaxed geometry, from the Alexandria database.

Values from the calculation:
**Magnetization**: 7.98 μB/cell

```
data_YFe2Hg2
_symmetry_space_group_name_H-M 'I 4/m m m'
_symmetry_Int_Tables_number 139
_symmetry_space_group_name_Hall '-I 4 2'
_cell_length_a 4.261
_cell_length_b 4.261
_cell_length_c 11.058
_cell_angle_alpha 90.00
_cell_angle_beta 90.00
_cell_angle_gamma 90.00
loop_
_atom_site_label
_atom_site_type_symbol
_atom_site_fract_x
_atom_site_fract_y
_atom_site_fract_z
Y1 Y 0.000 0.000 0.000
Fe1 Fe 0.000 0.000 0.405
Hg1 Hg 0.000 0.500 0.250
```

---

## two
The following is a PBE calculation of crystalline YFe2Hg2 at its relaxed geometry, from the Alexandria database.

Values from the calculation:
**Magnetization**: 9.38 μB/cell

```
data_YFe2Hg2
_symmetry_space_group_name_H-M 'I 4/m m m'
_symmetry_Int_Tables_number 139
_symmetry_space_group_name_Hall '-I 4 2'
_cell_length_a 3.832
_cell_length_b 3.832
_cell_length_c 13.612
_cell_angle_alpha 90.00
_cell_angle_beta 90.00
_cell_angle_gamma 90.00
loop_
_atom_site_label
_atom_site_type_symbol
_atom_site_fract_x
_atom_site_fract_y
_atom_site_fract_z
Y1 Y 0.000 0.000 0.000
Fe1 Fe 0.000 0.500 0.250
Hg1 Hg 0.000 0.000 0.389
```

---

Top of the stability list: one, leading by 24 meV per atom.

---

## one
The following is a PBE calculation of crystalline ZnFeHg at its relaxed geometry, from the Alexandria database.

Values from the calculation:
**Magnetization**: 5.24 μB/cell

```
data_ZnFeHg
_symmetry_space_group_name_H-M 'I 4 m m'
_symmetry_Int_Tables_number 107
_symmetry_space_group_name_Hall 'I 4 -2'
_cell_length_a 2.890
_cell_length_b 2.890
_cell_length_c 11.683
_cell_angle_alpha 90.00
_cell_angle_beta 90.00
_cell_angle_gamma 90.00
loop_
_atom_site_label
_atom_site_type_symbol
_atom_site_fract_x
_atom_site_fract_y
_atom_site_fract_z
Zn1 Zn 0.000 0.000 0.000
Fe1 Fe 0.000 0.000 0.639
Hg1 Hg 0.000 0.000 0.311
```

---

## two
The following is a PBE calculation of crystalline ZnFeHg at its relaxed geometry, from the Alexandria database.

Values from the calculation:
**Magnetization**: 2.57 μB/cell

```
data_ZnFeHg
_symmetry_space_group_name_H-M 'P 3 m 1'
_symmetry_Int_Tables_number 156
_cell_length_a 2.9081
_cell_length_b 2.9081
_cell_length_c 6.8160
_cell_angle_alpha 90.00
_cell_angle_beta 90.00
_cell_angle_gamma 120.00
loop_
_symmetry_equiv_pos_as_xyz
'x,y,z'
'-y,x-y,z'
'-x+y,-x,z'
'-y,-x,z'
'-x+y,y,z'
'x,x-y,z'
loop_
_atom_site_label
_atom_site_type_symbol
_atom_site_fract_x
_atom_site_fract_y
_atom_site_fract_z
Zn1 Zn 0.0000 0.0000 0.0000
Fe1 Fe 0.6667 0.3333 0.2902
Hg1 Hg 0.3333 0.6667 0.6276
```

---

## three
The following is a PBE calculation of crystalline ZnFeHg at its relaxed geometry, from the Alexandria database.

Values from the calculation:
**Magnetization**: 10.93 μB/cell

```
data_ZnFeHg
_symmetry_space_group_name_H-M 'F -4 3 m'
_symmetry_Int_Tables_number 216
_symmetry_space_group_name_Hall 'F -4 2 3'
_cell_length_a 6.115
_cell_length_b 6.115
_cell_length_c 6.115
_cell_angle_alpha 90.00
_cell_angle_beta 90.00
_cell_angle_gamma 90.00
loop_
_atom_site_label
_atom_site_type_symbol
_atom_site_fract_x
_atom_site_fract_y
_atom_site_fract_z
Zn1 Zn 0.000 0.000 0.000
Fe1 Fe 0.250 0.250 0.250
Hg1 Hg 0.000 0.000 0.500
```

---

Top of the stability list: one, leading by 71 meV per atom.

---

## one
The following is a PBE calculation of crystalline Zr2Fe2Hg at its relaxed geometry, from the Alexandria database.

Values from the calculation:
**Magnetization**: 0.00 μB/cell

```
data_Zr2Fe2Hg
_symmetry_space_group_name_H-M 'I 4/m m m'
_symmetry_Int_Tables_number 139
_symmetry_space_group_name_Hall '-I 4 2'
_cell_length_a 3.211
_cell_length_b 3.211
_cell_length_c 17.599
_cell_angle_alpha 90.00
_cell_angle_beta 90.00
_cell_angle_gamma 90.00
loop_
_atom_site_label
_atom_site_type_symbol
_atom_site_fract_x
_atom_site_fract_y
_atom_site_fract_z
Zr1 Zr 0.000 0.000 0.123
Fe1 Fe 0.000 0.500 0.250
Hg1 Hg 0.000 0.000 0.500
```

---

## two
The following is a PBE calculation of crystalline Zr2Fe2Hg at its relaxed geometry, from the Alexandria database.

Values from the calculation:
**Magnetization**: 5.57 μB/cell

```
data_Zr2Fe2Hg
_symmetry_space_group_name_H-M 'P 4/m b m'
_symmetry_Int_Tables_number 127
_symmetry_space_group_name_Hall '-P 4 2ab'
_cell_length_a 7.158
_cell_length_b 7.158
_cell_length_c 3.444
_cell_angle_alpha 90.00
_cell_angle_beta 90.00
_cell_angle_gamma 90.00
loop_
_atom_site_label
_atom_site_type_symbol
_atom_site_fract_x
_atom_site_fract_y
_atom_site_fract_z
Zr1 Zr 0.180 0.320 0.000
Fe1 Fe 0.112 0.612 0.500
Hg1 Hg 0.000 0.000 0.500
```

---

Top of the stability list: two, leading by 275 meV per atom.

---

## one
The following is a PBE calculation of crystalline Zr4FeHg at its relaxed geometry, from the Alexandria database.

Values from the calculation:
**Magnetization**: 10.22 μB/cell

```
data_Zr4FeHg
_symmetry_space_group_name_H-M 'F -4 3 m'
_symmetry_Int_Tables_number 216
_symmetry_space_group_name_Hall 'F -4 2 3'
_cell_length_a 8.045
_cell_length_b 8.045
_cell_length_c 8.045
_cell_angle_alpha 90.00
_cell_angle_beta 90.00
_cell_angle_gamma 90.00
loop_
_atom_site_label
_atom_site_type_symbol
_atom_site_fract_x
_atom_site_fract_y
_atom_site_fract_z
Zr1 Zr 0.124 0.124 0.124
Fe1 Fe 0.250 0.250 0.750
Hg1 Hg 0.000 0.000 0.500
```

---

## two
The following is a PBE calculation of crystalline Zr4FeHg at its relaxed geometry, from the Alexandria database.

Values from the calculation:
**Magnetization**: 0.00 μB/cell

```
data_Zr4FeHg
_symmetry_space_group_name_H-M 'C 1 2/c 1'
_symmetry_Int_Tables_number 15
_cell_length_a 8.059
_cell_length_b 11.949
_cell_length_c 5.481
_cell_angle_alpha 90.00
_cell_angle_beta 107.05
_cell_angle_gamma 90.00
loop_
_symmetry_equiv_pos_as_xyz
'x,y,z'
'-x,-y,-z'
'-x,y,-z+1/2'
'x,-y,z+1/2'
'x+1/2,y+1/2,z'
'-x+1/2,-y+1/2,-z'
'-x+1/2,y+1/2,-z+1/2'
'x+1/2,-y+1/2,z+1/2'
loop_
_atom_site_label
_atom_site_type_symbol
_atom_site_fract_x
_atom_site_fract_y
_atom_site_fract_z
Zr1 Zr 0.108 0.179 0.059
Zr2 Zr 0.228 0.416 0.372
Fe1 Fe 0.000 0.002 0.750
Hg1 Hg 0.000 0.385 0.750
```

---

Top of the stability list: two, leading by 602 meV per atom.

---

## one
The following is a PBE calculation of crystalline LiHo2Fe at its relaxed geometry, from the Alexandria database.

Values from the calculation:
**Magnetization**: 0.00 μB/cell

```
data_LiHo2Fe
_symmetry_space_group_name_H-M 'F m -3 m'
_symmetry_Int_Tables_number 225
_symmetry_space_group_name_Hall '-F 4 2 3'
_cell_length_a 6.815
_cell_length_b 6.815
_cell_length_c 6.815
_cell_angle_alpha 90.00
_cell_angle_beta 90.00
_cell_angle_gamma 90.00
loop_
_atom_site_label
_atom_site_type_symbol
_atom_site_fract_x
_atom_site_fract_y
_atom_site_fract_z
Li1 Li 0.000 0.000 0.000
Ho1 Ho 0.250 0.250 0.250
Fe1 Fe 0.000 0.000 0.500
```

---

## two
The following is a PBE calculation of crystalline LiHo2Fe at its relaxed geometry, from the Alexandria database.

Values from the calculation:
**Magnetization**: 0.01 μB/cell

```
data_LiHo2Fe
_symmetry_space_group_name_H-M 'P 4/m m m'
_symmetry_Int_Tables_number 123
_symmetry_space_group_name_Hall '-P 4 2'
_cell_length_a 3.320
_cell_length_b 3.320
_cell_length_c 8.100
_cell_angle_alpha 90.00
_cell_angle_beta 90.00
_cell_angle_gamma 90.00
loop_
_atom_site_label
_atom_site_type_symbol
_atom_site_fract_x
_atom_site_fract_y
_atom_site_fract_z
Li1 Li 0.000 0.000 0.000
Ho1 Ho 0.500 0.500 0.302
Fe1 Fe 0.000 0.000 0.500
```

---

Top of the stability list: two, leading by 34 meV per atom.